Density functional theory data (PBE) for an optimized crystal structure of Ba2ZrMnAl.

Output
Its calculated volume is 30.466 Å³/atom. The value obtained for the formation energy is 1.03 eV/atom. The calculation puts the magnetic moment at 0.0 Bohr magnetons per cell. For the total energy, the calculation gives -4.030 eV per atom.

Geometry as POSCAR:
```
Ba2ZrMnAl
1.0
5.5853 0.0000 0.0000
0.0000 5.5853 0.0000
0.0000 0.0000 4.8831
Ba Zr Mn Al
2 1 1 1
direct
0.0000 0.5000 0.0000
0.5000 0.0000 0.0000
0.0000 0.0000 0.5000
0.5000 0.5000 0.0000
0.5000 0.5000 0.5000
```



Density functional theory data (PBE) for an optimized crystal structure of Cr2Pd6Au.

Output
Its calculated volume is 15.368 Å³/atom. The value obtained for the formation energy is -0.05 eV/atom. The calculation puts the magnetic moment at 6.8 Bohr magnetons per cell. For the total energy, the calculation gives -6.010 eV per atom.

Geometry as POSCAR:
```
Cr2Pd6Au
1.0
0.0000 5.7116 6.0194
2.0115 0.0000 6.0194
2.0115 5.7116 0.0000
Cr Pd Au
2 6 1
direct
0.1618 0.1618 0.8382
0.8382 0.8382 0.1618
0.1669 0.8331 0.1669
0.1688 0.4890 0.5110
0.4890 0.1688 0.8312
0.5110 0.8312 0.1688
0.8312 0.5110 0.4890
0.8331 0.1669 0.8331
0.5000 0.5000 0.5000
```



Density functional theory data (PBE) for an optimized crystal structure of CsK2HgSe.

Output
Its calculated volume is 56.194 Å³/atom. The calculation puts the magnetic moment at 0.0 Bohr magnetons per cell. For the total energy, the calculation gives -1.973 eV per atom.

Geometry as POSCAR:
```
CsK2HgSe
1.0
6.3044 0.0000 0.0000
0.0000 6.3044 0.0000
0.0000 0.0000 7.0692
Cs K Hg Se
1 2 1 1
direct
0.0000 0.0000 0.0000
0.0000 0.5000 0.5000
0.5000 0.0000 0.5000
0.5000 0.5000 0.0000
0.0000 0.0000 0.5000
```



Density functional theory data (PBE) for an optimized crystal structure of PmThCdBi.

Output
Its calculated volume is 29.676 Å³/atom. The value obtained for the formation energy is -0.32 eV/atom. The calculation puts the magnetic moment at 0.0 Bohr magnetons per cell. For the total energy, the calculation gives -4.559 eV per atom.

Geometry as POSCAR:
```
PmThCdBi
1.0
0.0000 3.9007 3.9007
3.9007 0.0000 3.9007
3.9007 3.9007 0.0000
Pm Th Cd Bi
1 1 1 1
direct
0.0000 0.0000 0.0000
0.5000 0.5000 0.5000
0.7500 0.7500 0.7500
0.2500 0.2500 0.2500
```



Density functional theory data (PBE) for an optimized crystal structure of ZnP4Rh.

Output
Its calculated volume is 14.962 Å³/atom. The value obtained for the formation energy is 0.60 eV/atom. The calculation puts the magnetic moment at 0.0 Bohr magnetons per cell. For the total energy, the calculation gives -4.447 eV per atom.

Geometry as POSCAR:
```
ZnP4Rh
1.0
0.0000 3.5539 3.5539
3.5539 0.0000 3.5539
3.5539 3.5539 0.0000
Zn P Rh
1 4 1
direct
0.0000 0.0000 0.0000
0.3708 0.3708 0.3708
0.3708 0.3708 0.8875
0.3708 0.8875 0.3708
0.8875 0.3708 0.3708
0.7500 0.7500 0.7500
```



Density functional theory data (PBE) for an optimized crystal structure of Tl2Te2Rh.

Output
Its calculated volume is 28.795 Å³/atom. The calculation puts the magnetic moment at 0.0 Bohr magnetons per cell. For the total energy, the calculation gives -3.769 eV per atom.

Geometry as POSCAR:
```
Tl2Te2Rh
1.0
6.9487 0.0000 0.0000
0.0000 6.9487 0.0000
0.0000 0.0000 5.9636
Tl Te Rh
4 4 2
direct
0.1765 0.3235 0.0000
0.3235 0.8235 0.0000
0.6765 0.1765 0.0000
0.8235 0.6765 0.0000
0.1514 0.6514 0.5000
0.3486 0.1514 0.5000
0.6514 0.8486 0.5000
0.8486 0.3486 0.5000
0.0000 0.0000 0.5000
0.5000 0.5000 0.5000
```



Density functional theory data (PBE) for an optimized crystal structure of CrCd.

Output
Its calculated volume is 17.445 Å³/atom. The value obtained for the formation energy is 0.42 eV/atom. The calculation puts the magnetic moment at 2.7 Bohr magnetons per cell. For the total energy, the calculation gives -4.848 eV per atom.

Geometry as POSCAR:
```
CrCd
1.0
5.5964 -1.4960 0.0000
5.5964 1.4960 0.0000
-1.7321 0.0000 6.2507
Cr Cd
3 3
direct
0.0000 0.0000 0.0000
0.0494 0.0494 0.6807
0.6843 0.6843 0.9206
0.3263 0.3263 0.6986
0.3707 0.3707 0.2631
0.6440 0.6440 0.3525
```



Density functional theory data (PBE) for an optimized crystal structure of RbHfSb3.

Output
Its calculated volume is 36.696 Å³/atom. The calculation puts the magnetic moment at 0.0 Bohr magnetons per cell. For the total energy, the calculation gives -2.902 eV per atom.

Geometry as POSCAR:
```
RbHfSb3
1.0
5.6823 0.0000 0.0000
0.0000 5.6823 0.0000
0.0000 0.0000 5.6823
Rb Hf Sb
1 1 3
direct
0.0000 0.0000 0.0000
0.5000 0.5000 0.5000
0.0000 0.0000 0.5000
0.0000 0.5000 0.0000
0.5000 0.0000 0.0000
```



Density functional theory data (PBE) for an optimized crystal structure of Pr2TlIn.

Output
Its calculated volume is 30.094 Å³/atom. The value obtained for the formation energy is -0.44 eV/atom. The calculation puts the magnetic moment at 0.0 Bohr magnetons per cell. For the total energy, the calculation gives -4.107 eV per atom.

Geometry as POSCAR:
```
Pr2TlIn
1.0
0.0000 3.9190 3.9190
3.9190 0.0000 3.9190
3.9190 3.9190 0.0000
Pr Tl In
2 1 1
direct
0.2500 0.2500 0.2500
0.7500 0.7500 0.7500
0.0000 0.0000 0.0000
0.5000 0.5000 0.5000
```



Density functional theory data (PBE) for an optimized crystal structure of CaTcOs4.

Output
Its calculated volume is 16.637 Å³/atom. The value obtained for the formation energy is 0.49 eV/atom. The calculation puts the magnetic moment at 0.0 Bohr magnetons per cell. For the total energy, the calculation gives -9.059 eV per atom.

Geometry as POSCAR:
```
CaTcOs4
1.0
0.0000 3.6819 3.6819
3.6819 0.0000 3.6819
3.6819 3.6819 0.0000
Ca Tc Os
1 1 4
direct
0.0000 0.0000 0.0000
0.2500 0.2500 0.2500
0.1251 0.6250 0.6250
0.6250 0.1251 0.6250
0.6250 0.6250 0.1251
0.6250 0.6250 0.6250
```



Density functional theory data (PBE) for an optimized crystal structure of Sn3BiAs.

Output
Its calculated volume is 32.314 Å³/atom. The value obtained for the formation energy is 0.36 eV/atom. The calculation puts the magnetic moment at 0.0 Bohr magnetons per cell. For the total energy, the calculation gives -3.751 eV per atom.

Geometry as POSCAR:
```
Sn3BiAs
1.0
5.4465 0.0000 0.0000
0.0000 5.4465 0.0000
0.0000 0.0000 5.4465
Sn Bi As
3 1 1
direct
0.0000 0.0000 0.5000
0.0000 0.5000 0.0000
0.5000 0.0000 0.0000
0.5000 0.5000 0.5000
0.0000 0.0000 0.0000
```



Density functional theory data (PBE) for an optimized crystal structure of HfP2OsCl.

Output
Its calculated volume is 23.891 Å³/atom. The calculation puts the magnetic moment at 3.5 Bohr magnetons per cell. For the total energy, the calculation gives -5.751 eV per atom.

Geometry as POSCAR:
```
HfP2OsCl
1.0
5.0263 0.0000 0.0000
0.0000 5.0263 0.0000
0.0000 0.0000 4.7284
Hf P Os Cl
1 2 1 1
direct
0.0000 0.0000 0.0000
0.0000 0.5000 0.0000
0.5000 0.0000 0.0000
0.5000 0.5000 0.5000
0.0000 0.0000 0.5000
```